Entry from the Alexandria database: an optimized crystal structure of ReAg2Te (PBE).

Computed properties:
The calculation puts the total moment at 0.389 μB/atom. Its density of states at the Fermi level is 2.501 states/eV/cell. The space group is I4/mmm. Its theoretical density is 11601 kg/m³. The energy relative to the elements, uncorrected is 0.83 eV/atom.

a b c (Å): 5.640 5.640 5.640
angles (deg): 139.22 139.22 59.04
Fractional coordinates of all 4 atoms:
Re  0.250  0.750  0.500
Ag  0.000  0.000  0.000
Ag  0.500  0.500  0.000
Te  0.750  0.250  0.500